# BaErO

A geometry-optimized BaErO structure (PBE-GGA, Alexandria).

Lattice parameters (Å, degrees): 6.6471 9.9480 6.3700 90.63 90.00 90.00
Positions (direct):
1 Ba 0.4628 0.1700 0.2538
2 Ba 0.0372 0.1700 0.7538
3 Ba 0.5372 0.8300 0.7462
4 Ba 0.9628 0.8300 0.2462
5 Er 0.1040 0.5597 0.7170
6 Er 0.6040 0.4403 0.7830
7 Er 0.8960 0.4403 0.2830
8 Er 0.3960 0.5597 0.2170
9 O 0.6141 0.4010 0.1157
10 O 0.3859 0.5990 0.8843
11 O 0.8859 0.4010 0.6157
12 O 0.1141 0.5990 0.3843

Values from the calculation:
The value obtained for the density of states at the Fermi level is 12.285 states/eV per cell. The energy is -67.86 eV/cell.